Material: RbGaC
Method: DFT, PBE-GGA
State: optimized geometry

Calculated values
E_form = 0.387 eV per atom
Fermi-level density of states = 0.0 states/eV/cell
space-group type = No. 1
M_tot = 0.0 μB/f.u.
calculated total energy = -24.1 eV per cell

Structure (extended XYZ):
```
6
Lattice="3.579 0.000 0.000 1.767 6.956 0.000 0.040 2.455 6.747" Properties=species:S:1:pos:R:3 pbc="T T T"
Rb 0.000 0.000 0.000
Rb 1.753 3.649 2.215
Ga 1.816 5.452 5.374
Ga 3.590 7.034 3.309
C 3.594 7.113 5.315
C 3.592 6.774 6.565
```